No. 1
SrLa3Nb: optimized geometry, PBE-GGA.

Structure (POSCAR):
```
SrLa3Nb
1.0
5.7988 0.0000 0.0000
0.0000 5.7988 0.0000
0.0000 0.0000 5.7988
Sr Nb La
1 1 3
Direct
0.5000 0.5000 0.5000
0.0000 0.0000 0.0000
0.0000 0.5000 0.0000
0.0000 0.0000 0.5000
0.5000 0.0000 0.0000
```

Summary:
Energy relative to the lowest polymorph listed for this composition ... 0.000 eV per atom
Density of states at the Fermi level ... 5.7 states/eV per cell

=====

No. 2
SrLa: optimized geometry, PBE-GGA.

Structure (POSCAR):
```
SrLa
1.0
7.0823 0.0000 0.0000
0.0000 7.0823 0.0000
0.0000 0.0000 7.0823
Sr La
4 4
Direct
0.4018 0.9018 0.5982
0.0982 0.0982 0.0982
0.5982 0.4018 0.9018
0.9018 0.5982 0.4018
0.1017 0.6017 0.8983
0.3983 0.3983 0.3983
0.8983 0.1017 0.6017
0.6017 0.8983 0.1017
```

Summary:
Energy relative to the lowest polymorph listed for this composition ... 0.238 eV per atom
Density of states at the Fermi level ... 18.5 states/eV per cell

=====

No. 3
BaSnHg3: optimized geometry, PBE-GGA.

Structure (POSCAR):
```
BaSnHg3
1.0
-0.2221 -0.6736 -5.6289
-1.4679 -5.4343 0.7082
-5.4757 1.4841 0.0385
Hg Sn Ba
3 1 1
Direct
0.0000 0.5000 0.0000
0.0000 0.0000 0.5000
0.5000 0.0000 0.0000
0.0000 0.0000 0.0000
0.5000 0.5000 0.5000
```

Summary:
Energy relative to the lowest polymorph listed for this composition ... 0.234 eV per atom
Density of states at the Fermi level ... 2.1 states/eV per cell

=====

No. 4
ThHN: optimized geometry, PBE-GGA.

Structure (POSCAR):
```
ThHN
1.0
-0.3263 -2.0302 3.3848
3.2204 -1.5767 1.6817
1.4225 1.5232 3.3677
H Th N
1 1 1
Direct
0.0000 0.0000 0.0000
0.2500 0.2500 0.2500
0.5000 0.5000 0.5000
```

Summary:
Total energy ... -7.66 eV per atom
Density of states at the Fermi level ... 0.0 states/eV per cell

=====

No. 5
PaTa2Zn: optimized geometry, PBE-GGA.

Structure (POSCAR):
```
PaTa2Zn
1.0
3.7728 0.0000 0.0000
0.0000 4.4948 0.0000
0.0000 0.0000 4.4948
Zn Pa Ta
1 1 2
Direct
0.5000 0.0000 0.0000
0.5000 0.5000 0.5000
0.0000 0.0000 0.5000
0.0000 0.5000 0.0000
```

Summary:
Energy relative to the lowest polymorph listed for this composition ... 0.000 eV per atom
Density of states at the Fermi level ... 5.6 states/eV per cell

=====

No. 6
Al2TeSe: optimized geometry, PBE-GGA.

Structure (POSCAR):
```
Al2TeSe
1.0
-0.2937 4.2066 5.6832
3.1949 -4.9954 3.8626
5.0660 1.1681 3.8032
Te Al Se
2 4 2
Direct
0.0000 0.0000 0.0000
0.7500 0.2500 0.5000
0.6027 0.1250 0.2500
0.1473 0.6250 0.2500
0.3750 0.3973 0.7500
0.8750 0.8527 0.7500
0.5000 0.5000 0.0000
0.2500 0.7500 0.5000
```

Summary:
Energy relative to the lowest polymorph listed for this composition ... 0.181 eV per atom
Density of states at the Fermi level ... 2.6 states/eV per cell
Uncorrected formation energy ... -169 meV per atom

=====

No. 7
La5Pm6Y2: optimized geometry, PBE-GGA.

Structure (POSCAR):
```
La5Pm6Y2
1.0
3.6773 0.0000 0.0000
0.0000 11.9017 0.0000
0.0000 0.0000 21.0913
La Pm Y
10 12 4
Direct
0.5000 0.3017 0.4498
0.5000 0.6983 0.5502
0.5000 0.8017 0.0502
0.5000 0.1983 0.9498
0.5000 0.5863 0.2721
0.5000 0.4137 0.7279
0.5000 0.0863 0.2279
0.5000 0.9137 0.7721
0.5000 0.5000 0.0000
0.5000 0.0000 0.5000
0.0000 0.0834 0.3692
0.0000 0.9166 0.6308
0.0000 0.5834 0.1308
0.0000 0.4166 0.8692
0.5000 0.3261 0.1396
0.5000 0.6739 0.8604
0.5000 0.8261 0.3604
0.5000 0.1739 0.6396
0.0000 0.5613 0.4182
0.0000 0.4387 0.5818
0.0000 0.0613 0.0818
0.0000 0.9387 0.9182
0.0000 0.3309 0.2904
0.0000 0.6691 0.7096
0.0000 0.8309 0.2096
0.0000 0.1691 0.7904
```

Summary:
Total energy ... -5.00 eV per atom
Density of states at the Fermi level ... 33.6 states/eV per cell

=====

No. 8
Nd5Dy4Tl: optimized geometry, PBE-GGA.

Structure (POSCAR):
```
Nd5Dy4Tl
1.0
4.2089 0.0000 0.0000
0.0000 4.2089 0.0000
0.0000 0.0000 18.3665
Nd Dy Tl
5 4 1
Direct
0.5000 0.5000 0.0908
0.5000 0.5000 0.2959
0.5000 0.5000 0.5000
0.5000 0.5000 0.7041
0.5000 0.5000 0.9092
0.0000 0.0000 0.1951
0.0000 0.0000 0.3978
0.0000 0.0000 0.6022
0.0000 0.0000 0.8049
0.0000 0.0000 0.0000
```

Summary:
Energy relative to the lowest polymorph listed for this composition ... 0.000 eV per atom
Density of states at the Fermi level ... 17.3 states/eV per cell

=====

No. 9
Pm12In3Ga: optimized geometry, PBE-GGA.

Structure (POSCAR):
```
Pm12In3Ga
1.0
4.9245 0.0000 0.0000
0.0000 4.9245 0.0000
0.0000 0.0000 19.7076
Pm In Ga
12 3 1
Direct
0.5000 0.5000 0.0000
0.5000 0.5000 0.2464
0.5000 0.5000 0.5000
0.5000 0.5000 0.7536
0.5000 0.0000 0.1199
0.5000 0.0000 0.3736
0.5000 0.0000 0.6264
0.5000 0.0000 0.8801
0.0000 0.5000 0.1199
0.0000 0.5000 0.3736
0.0000 0.5000 0.6264
0.0000 0.5000 0.8801
0.0000 0.0000 0.2473
0.0000 0.0000 0.5000
0.0000 0.0000 0.7527
0.0000 0.0000 0.0000
```

Summary:
Total energy ... -4.53 eV per atom
Density of states at the Fermi level ... 25.8 states/eV per cell

=====

No. 10
CuHgMo2: optimized geometry, PBE-GGA.

Structure (POSCAR):
```
CuHgMo2
1.0
-3.3976 3.4335 -1.8260
-3.6761 -2.1529 -2.9186
2.0531 -0.0721 4.7378
Cu Hg Mo
1 1 2
Direct
0.5049 0.5049 0.0000
0.2579 0.7579 0.5000
0.9780 0.9780 0.0000
0.7592 0.2592 0.5000
```

Summary:
Total energy ... -6.07 eV per atom
Density of states at the Fermi level ... 1.9 states/eV per cell

=====

No. 11
Mg2BeNi: optimized geometry, PBE-GGA.

Structure (POSCAR):
```
Mg2BeNi
1.0
3.0501 0.0000 0.0000
0.0000 3.0503 0.0000
0.0000 0.0000 6.1654
Ni Mg Be
1 2 1
Direct
0.5000 0.5000 0.2500
0.0000 0.0000 0.0052
0.0000 0.0000 0.4948
0.5000 0.5000 0.7500
```

Summary:
Total energy ... -3.10 eV per atom
Density of states at the Fermi level ... 1.4 states/eV per cell

=====

No. 12
La2ZrMo: optimized geometry, PBE-GGA.

Structure (POSCAR):
```
La2ZrMo
1.0
6.0722 -0.0180 0.0000
-2.9488 5.3081 0.0000
0.0000 0.0000 3.1148
La Mo Zr
2 1 1
Direct
0.0000 0.0000 0.0000
0.5000 0.5000 0.0000
0.5000 0.0000 0.5000
0.0000 0.5000 0.5000
```

Summary:
Energy relative to the lowest polymorph listed for this composition ... 0.325 eV per atom
Density of states at the Fermi level ... 5.0 states/eV per cell

=====

Q: density of states at the Fermi level of number 4 (ThHN)?
A: 0.0 states/eV per cell

=====

Q: Among the records above, which one has the highest density of states at the Fermi level?
A: La5Pm6Y2

=====

Q: Which of these has the lowest density of states at the Fermi level?
A: ThHN